[1]
# BaNi2Ir

BaNi2Ir at its PBEsol-relaxed geometry (SCAN, Alexandria).

Structure (extended XYZ):
```
4
Lattice="4.175 0.000 0.000 -2.087 3.613 -0.074 0.000 -2.300 5.513" Properties=species:S:1:pos:R:3 pbc="T T T"
Ni 0.000 0.002 0.048
Ni 0.000 0.104 5.229
Ir 2.087 1.209 0.206
Ba 0.000 2.461 2.638
```

Computed properties:
V: 20.6 Å³ per atom
energy of formation from the pure elements: -0.112 eV per atom
relative energy among the computed polymorphs: 0.12 eV/f.u.
total magnetization: 0.66 μB/f.u.

[2]
# CsAsSCl2

CsAsSCl2 at its PBEsol-relaxed geometry (SCAN, Alexandria).

Structure (extended XYZ):
```
5
Lattice="-4.029 -1.157 -2.197 2.752 -2.113 -3.934 -0.019 -4.627 2.471" Properties=species:S:1:pos:R:3 pbc="T T T"
Cs -0.648 -3.948 -1.830
As 0.000 0.000 0.000
S -2.015 -0.579 -1.099
Cl -0.009 -2.314 1.236
Cl 1.376 -1.056 -1.967
```

Computed properties:
V: 26.0 Å³ per atom
energy relative to the elements, uncorrected: -4.878 eV/f.u.
total magnetization: 0.00 μB/f.u.

[3]
# AgTePtSe2

AgTePtSe2 at its PBEsol-relaxed geometry (SCAN, Alexandria).

Structure (extended XYZ):
```
5
Lattice="4.843 0.000 0.000 0.000 4.843 0.000 0.000 0.000 5.023" Properties=species:S:1:pos:R:3 pbc="T T T"
Te 2.422 2.422 2.511
Se 0.000 2.422 0.000
Se 2.422 0.000 0.000
Ag 0.000 0.000 0.000
Pt 0.000 0.000 2.511
```

Computed properties:
V: 23.6 Å³ per atom
energy relative to the elements, uncorrected: 4.825 eV/f.u.
total magnetization: 0.00 μB/f.u.

[4]
# ScCuI2

ScCuI2 at its PBEsol-relaxed geometry (SCAN, Alexandria).

Structure (extended XYZ):
```
4
Lattice="5.062 0.000 0.000 2.531 4.384 0.000 2.531 1.461 4.133" Properties=species:S:1:pos:R:3 pbc="T T T"
I 2.531 1.461 1.033
I 7.593 4.384 3.100
Sc 0.000 0.000 0.000
Cu 5.062 2.923 2.067
```

Computed properties:
V: 22.9 Å³ per atom
energy relative to the elements, uncorrected: -0.216 eV/f.u.
total magnetization: 0.00 μB/f.u.

[5]
# NaAlC3

NaAlC3 at its PBEsol-relaxed geometry (SCAN, Alexandria).

Structure (extended XYZ):
```
5
Lattice="3.963 0.000 0.000 0.000 3.963 0.000 0.000 0.000 3.963" Properties=species:S:1:pos:R:3 pbc="T T T"
Na 1.982 1.982 1.982
C 0.000 1.982 0.000
C 0.000 0.000 1.982
C 1.982 0.000 0.000
Al 0.000 0.000 0.000
```

Computed properties:
V: 12.4 Å³ per atom
energy of formation from the pure elements: 2.037 eV per atom
total magnetization: 0.00 μB/f.u.

[6]
# Na4Zn3Se5

Na4Zn3Se5 at its PBEsol-relaxed geometry (SCAN, Alexandria).

Structure (extended XYZ):
```
48
Lattice="-0.092 -1.430 -3.800 12.256 -5.638 1.827 -8.410 -16.236 6.314" Properties=species:S:1:pos:R:3 pbc="T T T"
Na 0.003 -15.869 2.718
Na -6.389 -13.560 2.003
Na 3.751 -7.435 1.623
Na 10.143 -9.745 2.338
Na 5.223 -5.154 -1.441
Na 8.525 -13.431 1.595
Na -1.469 -18.150 5.782
Na -4.770 -9.874 2.746
Na 0.153 -12.165 1.320
Na 2.861 -21.587 4.801
Na 3.601 -11.139 3.021
Na 0.894 -1.717 -0.460
Na -2.772 -13.195 1.778
Na 1.924 -18.780 3.767
Na 6.527 -10.109 2.563
Na 1.831 -4.524 0.574
Zn -4.543 -18.264 3.729
Zn 5.075 -14.346 2.022
Zn 8.297 -5.040 0.612
Zn -1.320 -8.958 2.319
Zn -0.311 -6.611 -0.759
Zn 6.339 -8.423 -0.238
Zn 4.066 -16.693 5.100
Zn -2.584 -14.882 4.579
Zn 10.078 -8.434 -0.324
Zn 1.998 -9.382 0.228
Zn -6.323 -14.870 4.665
Zn 1.756 -13.922 4.113
Se -2.524 -16.956 3.188
Se 5.223 -16.651 2.886
Se 6.278 -6.348 1.153
Se -1.468 -6.653 1.455
Se 2.052 -7.105 -0.630
Se 8.206 -9.875 0.264
Se 1.702 -16.199 4.971
Se -4.451 -13.430 4.077
Se -2.518 -10.454 0.740
Se -0.214 -20.655 4.525
Se 6.273 -12.850 3.601
Se 3.968 -2.649 -0.184
Se -0.152 -4.237 -1.657
Se 4.450 -10.001 0.402
Se 3.907 -19.067 5.998
Se -0.695 -13.303 3.939
Se -6.538 -16.893 3.261
Se 2.700 -13.707 1.839
Se 10.293 -6.412 1.080
Se 1.055 -9.597 2.502
```

Computed properties:
V: 22.3 Å³ per atom
energy relative to the elements, uncorrected: -12.428 eV/f.u.
total magnetization: 0.00 μB/f.u.

[7]
# CrCdTc

CrCdTc at its PBEsol-relaxed geometry (SCAN, Alexandria).

Structure (extended XYZ):
```
3
Lattice="-0.138 2.050 -1.736 -1.858 -1.887 -0.470 -3.301 3.124 5.229" Properties=species:S:1:pos:R:3 pbc="T T T"
Cd -0.026 0.019 0.025
Cr -2.553 1.241 0.389
Tc -2.718 2.027 2.609
```

Computed properties:
V: 15.1 Å³ per atom
energy of formation from the pure elements: 0.377 eV per atom
relative energy among the computed polymorphs: 0.00 eV/f.u.
total magnetization: 0.00 μB/f.u.

[8]
# TiPS2Cl

TiPS2Cl at its PBEsol-relaxed geometry (SCAN, Alexandria).

Structure (extended XYZ):
```
5
Lattice="-4.357 0.703 -0.419 0.289 -0.854 -4.444 -0.786 -4.395 0.794" Properties=species:S:1:pos:R:3 pbc="T T T"
P 0.000 0.000 0.000
S -0.393 -2.197 0.397
S 0.145 -0.427 -2.222
Cl -2.179 0.352 -0.209
Ti -2.427 -2.273 -2.035
```

Computed properties:
V: 18.2 Å³ per atom
energy relative to the elements, uncorrected: 0.199 eV/f.u.
total magnetization: 1.87 μB/f.u.

no.,electronic total energy (eV per atom)
1,-35.861
2,-17.693
3,-34.829
4,-25.784
5,-6.416
6,-14.185
7,-27.576
8,-10.693